A plane-wave DFT calculation with PBE was carried out for crystalline LaMn2Pt at its relaxed geometry.

Its calculated formation energy is 1.3 eV per formula unit. As for the final energy: -28.05 eV per formula unit. The value obtained for the density is 10.31 Mg/m³. The value obtained for the density of states at the Fermi level is 1.602 states/eV/atom.

The structure belongs to space group Pmmm (No. 47); the cell edges are 2.8059, 4.0712 and 6.2587 Å and the angles 90.00°, 90.00° and 90.00°. Symmetry generates all atoms from La at (0.0000, 0.0000, 0.0000), Mn at (0.5000, 0.5000, 0.3404) and Pt at (0.0000, 0.0000, 0.5000).